Entry from Alexandria: AlZnAu2 after structural relaxation (PBEsol).

Values from the calculation:
Density: 12628 kg/m3
VASP energy: -14.83 eV for the cell shown
Formation enthalpy at 0 K: -326 meV per atom
D(E_F): 1.11 states/eV per cell

abc: 3.466 3.466 5.323
angles: 90.00 90.00 90.00
Space group P4mm (No. 99)
Symmetry-distinct sites (fractional):
Al: 0.000 0.000 0.000 [1 per cell]
Zn: 0.500 0.500 0.706 [1 per cell]
Au: 0.000 0.000 0.513 [1 per cell]
Au: 0.500 0.500 0.195 [1 per cell]